# 1
## Li4NbIn3P6O24 (PBE)

Data for crystalline Li4NbIn3P6O24 at its relaxed geometry.

The structure in POSCAR format:
```
Li4NbIn3P6O24
1.0
8.824 0.000 -0.029
0.000 9.004 0.000
0.037 0.000 12.535
Li Nb In P O
8 2 6 12 48
direct
0.791 0.029 0.180
0.782 0.975 0.818
0.715 0.472 0.683
0.712 0.534 0.327
0.291 0.971 0.680
0.282 0.025 0.318
0.215 0.528 0.183
0.212 0.466 0.827
0.746 0.707 0.111
0.246 0.293 0.611
0.748 0.287 0.887
0.751 0.792 0.612
0.749 0.210 0.386
0.248 0.713 0.387
0.251 0.208 0.112
0.249 0.790 0.886
0.953 0.509 0.500
0.893 0.645 0.853
0.898 0.357 0.147
0.608 0.852 0.347
0.602 0.144 0.647
0.544 0.993 0.000
0.453 0.491 0.000
0.393 0.355 0.353
0.398 0.643 0.647
0.108 0.148 0.847
0.102 0.856 0.147
0.044 0.007 0.500
0.954 0.905 0.573
0.956 0.120 0.435
0.933 0.137 0.842
0.923 0.840 0.161
0.862 0.578 0.592
0.847 0.679 0.973
0.825 0.238 0.220
0.821 0.496 0.820
0.832 0.516 0.178
0.845 0.424 0.425
0.861 0.324 0.032
0.830 0.773 0.785
0.676 0.265 0.718
0.666 0.791 0.453
0.656 0.902 0.077
0.679 0.001 0.313
0.647 0.987 0.686
0.659 0.730 0.261
0.636 0.166 0.530
0.655 0.074 0.925
0.567 0.366 0.346
0.571 0.635 0.665
0.539 0.377 0.935
0.568 0.603 0.056
0.456 0.880 0.935
0.454 0.095 0.073
0.433 0.863 0.342
0.423 0.160 0.661
0.362 0.422 0.092
0.347 0.321 0.473
0.325 0.762 0.720
0.321 0.504 0.320
0.332 0.484 0.678
0.345 0.576 0.925
0.361 0.676 0.532
0.330 0.227 0.285
0.176 0.735 0.218
0.166 0.209 0.953
0.156 0.098 0.577
0.179 0.999 0.813
0.147 0.013 0.186
0.159 0.270 0.761
0.136 0.834 0.030
0.155 0.926 0.425
0.067 0.634 0.846
0.071 0.365 0.165
0.068 0.397 0.556
0.039 0.623 0.435
```

The value obtained for the calculated volume is 13.10 A^3/atom. Its space group is No. 7. The energy relative to the elements, uncorrected comes out at -2.22 eV/atom.

***

# 2
## LiNbInOs (PBE)

Data for crystalline LiNbInOs at its relaxed geometry.

The structure in POSCAR format:
```
LiNbInOs
1.0
4.517 0.000 0.000
2.258 3.912 0.000
2.258 1.304 3.688
Nb Li Os In
1 1 1 1
direct
0.500 0.500 0.500
0.250 0.250 0.250
0.750 0.750 0.750
0.000 0.000 0.000
```

The value obtained for the calculated volume is 16.29 A^3/atom. Its space group is No. 216.

***

no.,total energy (eV per atom),D(E_F) (states/eV/f.u.)
1,-6.884,0.000
2,-6.585,3.583